Model w:
Here is a relaxed MgTlCd crystal from the Alexandria database. Energies are from GGA-PBE.

Results
DOS(E_F) (states/eV/cell): 0.99

Geometry as CIF:
```
data_MgTlCd
_cell_length_a 5.783
_cell_length_b 5.783
_cell_length_c 5.783
_cell_angle_alpha 146.37
_cell_angle_beta 135.88
_cell_angle_gamma 56.60
_space_group_name_H-M_alt 'P 1'
_space_group_IT_number 1
loop_
_space_group_symop_operation_xyz
'x,y,z'
loop_
_atom_site_label
_atom_site_type_symbol
_atom_site_fract_x
_atom_site_fract_y
_atom_site_fract_z
_atom_site_occupancy
Mg1 Mg 0.000 0.000 0.000 1
Tl1 Tl 0.670 0.670 0.000 1
Cd1 Cd 0.348 0.348 0.000 1
```


Model x:
Here is a relaxed MgTlCd crystal from the Alexandria database. Energies are from GGA-PBE.

Results
DOS(E_F) (states/eV/cell): 2.27

Geometry as CIF:
```
data_MgTlCd
_cell_length_a 5.316
_cell_length_b 5.316
_cell_length_c 9.975
_cell_angle_alpha 103.95
_cell_angle_beta 103.95
_cell_angle_gamma 36.91
_space_group_name_H-M_alt 'P 1'
_space_group_IT_number 1
loop_
_space_group_symop_operation_xyz
'x,y,z'
loop_
_atom_site_label
_atom_site_type_symbol
_atom_site_fract_x
_atom_site_fract_y
_atom_site_fract_z
_atom_site_occupancy
Mg1 Mg 0.155 0.155 0.070 1
Mg2 Mg 0.845 0.845 0.930 1
Tl1 Tl 0.466 0.466 0.220 1
Tl2 Tl 0.534 0.534 0.780 1
Cd1 Cd 0.244 0.244 0.379 1
Cd2 Cd 0.756 0.756 0.621 1
```


Model y:
Here is a relaxed MgTlCd crystal from the Alexandria database. Energies are from GGA-PBE.

Results
DOS(E_F) (states/eV/cell): 1.68

Geometry as CIF:
```
data_MgTlCd
_cell_length_a 5.067
_cell_length_b 5.074
_cell_length_c 6.266
_cell_angle_alpha 90.00
_cell_angle_beta 90.05
_cell_angle_gamma 107.52
_space_group_name_H-M_alt 'P 1'
_space_group_IT_number 1
loop_
_space_group_symop_operation_xyz
'x,y,z'
loop_
_atom_site_label
_atom_site_type_symbol
_atom_site_fract_x
_atom_site_fract_y
_atom_site_fract_z
_atom_site_occupancy
Mg1 Mg 0.000 0.000 0.000 1
Mg2 Mg 0.000 0.000 0.500 1
Tl1 Tl 0.219 0.580 0.250 1
Tl2 Tl 0.417 0.777 0.750 1
Cd1 Cd 0.588 0.213 0.249 1
Cd2 Cd 0.783 0.409 0.749 1
```


Model z:
Here is a relaxed MgTlCd crystal from the Alexandria database. Energies are from GGA-PBE.

Results
DOS(E_F) (states/eV/cell): 1.23

Geometry as CIF:
```
data_MgTlCd
_cell_length_a 3.335
_cell_length_b 3.335
_cell_length_c 7.740
_cell_angle_alpha 90.00
_cell_angle_beta 90.00
_cell_angle_gamma 120.00
_space_group_name_H-M_alt 'P 1'
_space_group_IT_number 1
loop_
_space_group_symop_operation_xyz
'x,y,z'
loop_
_atom_site_label
_atom_site_type_symbol
_atom_site_fract_x
_atom_site_fract_y
_atom_site_fract_z
_atom_site_occupancy
Mg1 Mg 0.000 0.000 0.000 1
Tl1 Tl 0.667 0.333 0.339 1
Cd1 Cd 0.333 0.667 0.687 1
```


Stability check: which of them is most stable? model w.


Model w:
Here is a relaxed Mg7Tl2Cd2 crystal from the Alexandria database. Energies are from GGA-PBE.

Results
DOS(E_F) (states/eV/cell): 3.97

Geometry as CIF:
```
data_Mg7Tl2Cd2
_cell_length_a 5.738
_cell_length_b 5.738
_cell_length_c 8.404
_cell_angle_alpha 99.78
_cell_angle_beta 99.78
_cell_angle_gamma 100.87
_space_group_name_H-M_alt 'P 1'
_space_group_IT_number 1
loop_
_space_group_symop_operation_xyz
'x,y,z'
loop_
_atom_site_label
_atom_site_type_symbol
_atom_site_fract_x
_atom_site_fract_y
_atom_site_fract_z
_atom_site_occupancy
Mg1 Mg 0.000 0.000 0.000 1
Mg2 Mg 0.073 0.443 0.812 1
Mg3 Mg 0.140 0.140 0.398 1
Mg4 Mg 0.443 0.073 0.812 1
Mg5 Mg 0.557 0.927 0.188 1
Mg6 Mg 0.860 0.860 0.602 1
Mg7 Mg 0.927 0.557 0.188 1
Tl1 Tl 0.403 0.403 0.169 1
Tl2 Tl 0.597 0.597 0.831 1
Cd1 Cd 0.300 0.700 0.500 1
Cd2 Cd 0.700 0.300 0.500 1
```


Model x:
Here is a relaxed Mg7Tl2Cd2 crystal from the Alexandria database. Energies are from GGA-PBE.

Results
DOS(E_F) (states/eV/cell): 4.05

Geometry as CIF:
```
data_Mg7Tl2Cd2
_cell_length_a 9.518
_cell_length_b 9.518
_cell_length_c 9.518
_cell_angle_alpha 159.68
_cell_angle_beta 66.19
_cell_angle_gamma 117.76
_space_group_name_H-M_alt 'P 1'
_space_group_IT_number 1
loop_
_space_group_symop_operation_xyz
'x,y,z'
loop_
_atom_site_label
_atom_site_type_symbol
_atom_site_fract_x
_atom_site_fract_y
_atom_site_fract_z
_atom_site_occupancy
Mg1 Mg 0.000 0.000 0.000 1
Mg2 Mg 0.001 0.677 0.324 1
Mg3 Mg 0.347 0.457 0.890 1
Mg4 Mg 0.353 0.677 0.676 1
Mg5 Mg 0.567 0.457 0.110 1
Mg6 Mg 0.580 0.238 0.342 1
Mg7 Mg 0.896 0.238 0.658 1
Tl1 Tl 0.262 0.762 0.500 1
Tl2 Tl 0.704 0.704 0.000 1
Cd1 Cd 0.188 0.953 0.235 1
Cd2 Cd 0.718 0.953 0.765 1
```


Stability check: which of them is most stable? model x.


Model w:
Here is a relaxed MgTlCd4 crystal from the Alexandria database. Energies are from GGA-PBE.

Results
DOS(E_F) (states/eV/cell): 2.11

Geometry as CIF:
```
data_MgTlCd4
_cell_length_a 5.936
_cell_length_b 5.936
_cell_length_c 5.936
_cell_angle_alpha 60.00
_cell_angle_beta 60.00
_cell_angle_gamma 60.00
_space_group_name_H-M_alt 'P 1'
_space_group_IT_number 1
loop_
_space_group_symop_operation_xyz
'x,y,z'
loop_
_atom_site_label
_atom_site_type_symbol
_atom_site_fract_x
_atom_site_fract_y
_atom_site_fract_z
_atom_site_occupancy
Mg1 Mg 0.000 0.000 0.000 1
Tl1 Tl 0.750 0.750 0.750 1
Cd1 Cd 0.375 0.375 0.375 1
Cd2 Cd 0.375 0.375 0.876 1
Cd3 Cd 0.375 0.876 0.375 1
Cd4 Cd 0.876 0.375 0.375 1
```


Model x:
Here is a relaxed MgTlCd4 crystal from the Alexandria database. Energies are from GGA-PBE.

Results
DOS(E_F) (states/eV/cell): 4.50

Geometry as CIF:
```
data_MgTlCd4
_cell_length_a 8.786
_cell_length_b 8.786
_cell_length_c 9.927
_cell_angle_alpha 90.00
_cell_angle_beta 90.00
_cell_angle_gamma 157.81
_space_group_name_H-M_alt 'P 1'
_space_group_IT_number 1
loop_
_space_group_symop_operation_xyz
'x,y,z'
loop_
_atom_site_label
_atom_site_type_symbol
_atom_site_fract_x
_atom_site_fract_y
_atom_site_fract_z
_atom_site_occupancy
Mg1 Mg 0.248 0.752 0.750 1
Mg2 Mg 0.752 0.248 0.250 1
Tl1 Tl 0.400 0.600 0.250 1
Tl2 Tl 0.600 0.400 0.750 1
Cd1 Cd 0.000 0.000 0.000 1
Cd2 Cd 0.000 0.000 0.500 1
Cd3 Cd 0.174 0.826 0.033 1
Cd4 Cd 0.174 0.826 0.467 1
Cd5 Cd 0.423 0.577 0.750 1
Cd6 Cd 0.577 0.423 0.250 1
Cd7 Cd 0.826 0.174 0.533 1
Cd8 Cd 0.826 0.174 0.967 1
```


Stability check: which of them is most stable? model x.


Model w:
Here is a relaxed MgTlCd3 crystal from the Alexandria database. Energies are from GGA-PBE.

Results
DOS(E_F) (states/eV/cell): 2.96

Geometry as CIF:
```
data_MgTlCd3
_cell_length_a 5.414
_cell_length_b 5.414
_cell_length_c 5.414
_cell_angle_alpha 90.00
_cell_angle_beta 90.00
_cell_angle_gamma 90.00
_space_group_name_H-M_alt 'P 1'
_space_group_IT_number 1
loop_
_space_group_symop_operation_xyz
'x,y,z'
loop_
_atom_site_label
_atom_site_type_symbol
_atom_site_fract_x
_atom_site_fract_y
_atom_site_fract_z
_atom_site_occupancy
Mg1 Mg 0.000 0.000 0.000 1
Tl1 Tl 0.500 0.500 0.500 1
Cd1 Cd 0.000 0.000 0.500 1
Cd2 Cd 0.000 0.500 0.000 1
Cd3 Cd 0.500 0.000 0.000 1
```


Model x:
Here is a relaxed MgTlCd3 crystal from the Alexandria database. Energies are from GGA-PBE.

Results
DOS(E_F) (states/eV/cell): 4.50

Geometry as CIF:
```
data_MgTlCd3
_cell_length_a 8.047
_cell_length_b 8.047
_cell_length_c 8.047
_cell_angle_alpha 142.42
_cell_angle_beta 127.85
_cell_angle_gamma 66.04
_space_group_name_H-M_alt 'P 1'
_space_group_IT_number 1
loop_
_space_group_symop_operation_xyz
'x,y,z'
loop_
_atom_site_label
_atom_site_type_symbol
_atom_site_fract_x
_atom_site_fract_y
_atom_site_fract_z
_atom_site_occupancy
Mg1 Mg 0.252 0.002 0.250 1
Mg2 Mg 0.748 0.998 0.750 1
Tl1 Tl 0.370 0.620 0.750 1
Tl2 Tl 0.630 0.380 0.250 1
Cd1 Cd 0.130 0.380 0.750 1
Cd2 Cd 0.166 0.182 0.984 1
Cd3 Cd 0.301 0.818 0.484 1
Cd4 Cd 0.699 0.182 0.516 1
Cd5 Cd 0.834 0.818 0.016 1
Cd6 Cd 0.870 0.620 0.250 1
```


Stability check: which of them is most stable? model x.